Entry from Alexandria: a geometry-optimized Li3AlCrO5 structure (PBE+U).

Structure (POSCAR):
```
Li3AlCrO5
1.0
-0.410 4.652 1.691
0.381 -1.823 5.107
15.999 1.634 -0.612
Li Al Cr O
12 4 4 20
Direct
0.008 0.670 0.602
0.008 0.170 0.898
0.009 0.665 0.000
0.009 0.165 0.500
0.500 0.332 0.800
0.500 0.832 0.700
0.508 0.330 0.398
0.508 0.830 0.102
0.509 0.335 0.000
0.509 0.835 0.500
0.000 0.168 0.300
0.000 0.668 0.200
0.999 0.168 0.702
0.999 0.668 0.798
0.499 0.332 0.202
0.499 0.832 0.298
0.008 0.165 0.097
0.008 0.665 0.403
0.508 0.335 0.597
0.508 0.835 0.903
0.095 0.354 0.789
0.095 0.854 0.711
0.108 0.314 0.006
0.108 0.814 0.494
0.104 0.354 0.399
0.104 0.854 0.101
0.138 0.322 0.193
0.138 0.822 0.307
0.135 0.306 0.611
0.135 0.806 0.889
0.595 0.646 0.211
0.595 0.146 0.289
0.608 0.186 0.506
0.608 0.686 0.994
0.604 0.146 0.899
0.604 0.646 0.601
0.638 0.178 0.693
0.638 0.678 0.807
0.635 0.194 0.111
0.635 0.694 0.389
```

- Fermi-level density of states: 0.000 states/eV per atom
- Total magnetic moment: 2.00 μB/f.u.
- VASP energy: -6.3703 eV per atom
- Space group: Pna2_1